# CsSc2Al2

A relaxed structure of CsSc2Al2 (PBE, Alexandria).

Structure (POSCAR):
```
CsSc2Al2
1.0
9.089 0.000 0.000
0.000 9.089 0.000
0.000 0.000 3.164
Cs Sc Al
2 4 4
Direct
0.000 0.000 0.000
0.500 0.500 0.000
0.124 0.376 0.000
0.376 0.876 0.000
0.624 0.124 0.000
0.876 0.624 0.000
0.165 0.665 0.500
0.335 0.165 0.500
0.665 0.835 0.500
0.835 0.335 0.500
```

Computed properties:
The calculation puts the calculated volume at 26.1 Å³/atom. The total magnetic moment is 0.00 Bohr magnetons per cell. The value obtained for the energy relative to the elements is 93 meV per atom. The crystal system is tetragonal. Its space group is No. 127. The calculation puts the total energy at -41.070 eV per cell.